Density functional theory data (PBE-GGA) for crystalline ZrTa2In at its relaxed geometry.

Calculated values
total energy = -8.63 eV/atom
ΔE_f = 0.114 eV/atom
spin magnetization = 0.0 μB/f.u.

a = 2.978 Å, b = 5.003 Å, c = 5.476 Å
α = 90.00°, β = 96.93°, γ = 90.00°
Space group P2/m (No. 10)
Unique sites:
Zr1 0.000 0.000 0.000
Ta1 0.268 0.500 0.769
In1 0.500 0.000 0.500

---

Density functional theory data (PBE-GGA) for crystalline Zr4CoAu at its relaxed geometry.

Calculated values
E above lowest polymorph = 0.0 meV per atom
total energy = -7.74 eV/atom
ΔE_f = -0.314 eV/atom
spin magnetization = 0.0 μB/f.u.

a = 6.611 Å, b = 6.611 Å, c = 5.497 Å
α = 90.00°, β = 90.00°, γ = 90.00°
Space group P4/mcc (No. 124)
Unique sites:
Zr1 0.147 0.322 0.000
Co1 0.000 0.000 0.250
Au1 0.500 0.500 0.250

---

Density functional theory data (PBE-GGA) for crystalline TaMnCu2Re at its relaxed geometry.

Calculated values
total energy = -6.86 eV/atom
ΔE_f = 1.476 eV/atom
spin magnetization = 4.1 μB/f.u.

a = 4.688 Å, b = 4.688 Å, c = 4.739 Å
α = 90.00°, β = 90.00°, γ = 90.00°
Space group P4/mmm (No. 123)
Unique sites:
Ta1 0.000 0.000 0.000
Mn1 0.500 0.500 0.000
Cu1 0.000 0.500 0.500
Re1 0.000 0.000 0.500

---

Number 1: D(E_F) 3.91 states/eV per cell. Number 2: D(E_F) 13.02 states/eV per cell. Number 3: D(E_F) 4.75 states/eV per cell.